# 1
MgZnPt2 after structural relaxation, computed with GGA-PBEsol.

Summary:
Its raw total energy is -5.005 eV/atom. The value obtained for the size of the total moment is 0.000 Bohr magnetons per cell.

a b c (Å): 2.881 3.531 5.748
angles (deg): 90.00 90.00 90.00
Fractional positions:
Zn 0.500 0.500 0.000
Mg 0.500 0.500 0.500
Pt 0.000 0.000 0.757
Pt 0.000 0.000 0.243

=====

# 2
YHg2Rh after structural relaxation, computed with GGA-PBEsol.

Summary:
Its raw total energy is -4.384 eV/atom. The value obtained for the size of the total moment is 0.000 Bohr magnetons per cell.

a b c (Å): 4.808 4.808 4.808
angles (deg): 60.00 60.00 60.00
Fractional positions:
Y 0.000 0.000 0.000
Rh 0.500 0.500 0.500
Hg 0.250 0.250 0.250
Hg 0.750 0.750 0.750

=====

# 3
CaSi2Os after structural relaxation, computed with GGA-PBEsol.

Summary:
Its raw total energy is -6.924 eV/atom. The value obtained for the size of the total moment is 0.000 Bohr magnetons per cell.

a b c (Å): 4.056 4.056 5.576
angles (deg): 68.67 68.67 60.00
Fractional positions:
Ca 0.500 0.500 0.500
Os 0.000 0.000 0.000
Si 0.291 0.291 0.127
Si 0.709 0.709 0.873

=====

# 4
CrAu after structural relaxation, computed with GGA-PBEsol.

Summary:
Its raw total energy is -6.538 eV/atom. The value obtained for the size of the total moment is 3.177 Bohr magnetons per cell.

a b c (Å): 2.891 2.891 4.625
angles (deg): 71.78 71.78 60.00
Site moments in Bohr magnetons follow the coordinates.
Fractional positions:
Cr 0.500 0.500 0.500  2.85
Au 0.000 0.000 0.000  0.10

=====

# 5
Tl2CrAs after structural relaxation, computed with GGA-PBEsol.

Summary:
Its raw total energy is -4.984 eV/atom. The value obtained for the size of the total moment is 3.067 Bohr magnetons per cell.

a b c (Å): 3.309 3.309 8.090
angles (deg): 90.00 90.00 90.00
Site moments in Bohr magnetons follow the coordinates.
Fractional positions:
As 0.000 0.000 0.575  -0.13
Cr 0.500 0.500 0.685  2.99
Tl 0.000 0.000 0.955  0.00
Tl 0.500 0.500 0.284  0.01

=====

# 6
AlSnP2S after structural relaxation, computed with GGA-PBEsol.

Summary:
Its raw total energy is -4.595 eV/atom. The value obtained for the size of the total moment is 0.002 Bohr magnetons per cell.

a b c (Å): 4.651 4.651 4.610
angles (deg): 90.00 90.00 90.00
Fractional positions:
P 0.000 0.500 0.000
P 0.500 0.000 0.000
S 0.000 0.000 0.500
Sn 0.500 0.500 0.500
Al 0.000 0.000 0.000

=====

# 7
Nb2Cr3Si3 after structural relaxation, computed with GGA-PBEsol.

Summary:
Its raw total energy is -9.157 eV/atom. The value obtained for the size of the total moment is 1.613 Bohr magnetons per cell.

a b c (Å): 4.771 7.011 7.222
angles (deg): 119.04 90.00 90.00
Site moments in Bohr magnetons follow the coordinates.
Fractional positions:
Nb 0.500 0.801 0.000  -0.06
Nb 0.000 0.753 0.754  -0.02
Nb 0.000 0.999 0.246  -0.02
Nb 0.000 0.215 0.000  -0.04
Cr 0.748 0.666 0.329  0.13
Cr 0.748 0.337 0.671  0.13
Cr 0.252 0.337 0.671  0.13
Cr 0.252 0.666 0.329  0.13
Cr 0.500 0.248 0.255  0.62
Cr 0.500 0.993 0.745  0.62
Si 0.500 0.592 0.583  -0.01
Si 0.500 0.009 0.417  -0.01
Si 0.500 0.394 0.000  -0.01
Si 0.000 0.406 0.406  -0.01
Si 0.000 0.001 0.594  -0.01
Si 0.000 0.585 0.000  -0.01

=====

# 8
Al2SnIr after structural relaxation, computed with GGA-PBEsol.

Summary:
Its raw total energy is -5.552 eV/atom. The value obtained for the size of the total moment is 0.000 Bohr magnetons per cell.

a b c (Å): 5.104 6.118 6.118
angles (deg): 79.98 65.35 65.35
Fractional positions:
Ir 0.750 0.500 0.500
Ir 0.000 0.000 0.000
Sn 0.250 0.500 0.500
Sn 0.500 0.000 0.000
Al 0.051 0.074 0.574
Al 0.699 0.926 0.426
Al 0.375 0.574 0.926
Al 0.875 0.426 0.074

=====

# 9
CrFe2SiSe after structural relaxation, computed with GGA-PBEsol.

Summary:
Its raw total energy is -6.504 eV/atom. The value obtained for the size of the total moment is 8.402 Bohr magnetons per cell.

a b c (Å): 4.212 4.212 4.866
angles (deg): 90.00 90.00 90.00
Site moments in Bohr magnetons follow the coordinates.
Fractional positions:
Cr 0.500 0.500 0.500  3.75
Si 0.000 0.000 0.000  -0.11
Fe 0.000 0.500 0.000  2.18
Fe 0.500 0.000 0.000  2.18
Se 0.000 0.000 0.500  0.04

=====

# 10
LiPtN3 after structural relaxation, computed with GGA-PBEsol.

Summary:
Its raw total energy is -5.477 eV/atom. The value obtained for the size of the total moment is 4.239 Bohr magnetons per cell.

a b c (Å): 3.958 3.958 3.958
angles (deg): 90.00 90.00 90.00
Site moments in Bohr magnetons follow the coordinates.
Fractional positions:
Li 0.500 0.500 0.500  0.00
Pt 0.000 0.000 0.000  0.60
N 0.000 0.500 0.000  0.84
N 0.000 0.000 0.500  0.84
N 0.500 0.000 0.000  0.84

=====

# 11
Y2TcAu after structural relaxation, computed with GGA-PBEsol.

Summary:
Its raw total energy is -7.528 eV/atom. The value obtained for the size of the total moment is 0.000 Bohr magnetons per cell.

a b c (Å): 3.495 4.853 4.853
angles (deg): 90.00 90.00 90.00
Fractional positions:
Au 0.000 0.500 0.500
Tc 0.000 0.000 0.000
Y 0.500 0.500 0.000
Y 0.500 0.000 0.500

=====

# 12
MnFe3P4O16 after structural relaxation, computed with GGA-PBEsol.

Summary:
Its raw total energy is -7.809 eV/atom. The value obtained for the size of the total moment is 38.031 Bohr magnetons per cell.

a b c (Å): 4.830 9.844 11.756
angles (deg): 90.00 90.00 90.00
Site moments in Bohr magnetons follow the coordinates.
Fractional positions:
Mn 0.822 0.716 0.500  3.67
Mn 0.178 0.216 0.000  3.67
Fe 0.788 0.726 0.000  4.04
Fe 0.212 0.226 0.500  4.04
Fe 0.292 0.776 0.251  4.05
Fe 0.292 0.776 0.749  4.05
Fe 0.708 0.276 0.751  4.05
Fe 0.708 0.276 0.249  4.05
P 0.842 0.597 0.248  0.02
P 0.842 0.597 0.752  0.02
P 0.158 0.097 0.252  0.02
P 0.158 0.097 0.748  0.02
P 0.340 0.899 0.500  0.02
P 0.337 0.905 0.000  0.02
P 0.660 0.399 0.000  0.02
P 0.663 0.405 0.500  0.02
O 0.903 0.445 0.250  0.15
O 0.903 0.445 0.750  0.15
O 0.990 0.671 0.650  0.12
O 0.990 0.671 0.853  0.18
O 0.990 0.671 0.147  0.18
O 0.990 0.671 0.350  0.12
O 0.976 0.375 0.000  0.04
O 0.974 0.380 0.500  0.14
O 0.026 0.880 0.000  0.14
O 0.024 0.875 0.500  0.04
O 0.010 0.171 0.647  0.18
O 0.010 0.171 0.850  0.12
O 0.010 0.171 0.353  0.18
O 0.010 0.171 0.150  0.12
O 0.097 0.945 0.750  0.15
O 0.097 0.945 0.250  0.15
O 0.396 0.058 0.000  0.05
O 0.388 0.053 0.500  0.15
O 0.487 0.833 0.102  0.18
O 0.483 0.829 0.397  0.16
O 0.487 0.833 0.898  0.18
O 0.483 0.829 0.603  0.16
O 0.469 0.123 0.252  0.15
O 0.469 0.123 0.748  0.15
O 0.531 0.623 0.752  0.15
O 0.531 0.623 0.248  0.15
O 0.517 0.329 0.103  0.16
O 0.513 0.333 0.398  0.18
O 0.513 0.333 0.602  0.18
O 0.517 0.329 0.897  0.16
O 0.612 0.553 0.000  0.15
O 0.604 0.558 0.500  0.05